An optimized crystal structure of GaAg2Au6, computed with GGA-PBE.

Geometry as POSCAR:
```
GaAg2Au6
1.0
-2.0509 4.0071 5.6424
2.0509 -4.0071 5.6424
2.0509 4.0071 -5.6424
Ga Ag Au
1 2 6
Direct
0.0000 0.0000 0.0000
0.3610 0.3610 0.0000
0.6390 0.6390 0.0000
0.0709 0.8312 0.2397
0.2038 0.5000 0.7038
0.4085 0.1688 0.2397
0.5915 0.8312 0.7603
0.7962 0.5000 0.2962
0.9291 0.1688 0.7603
```

Values from the calculation:
**Spin magnetization**: 0.0 μB/cell
**DFT total energy**: -28.3 eV per cell
**DOS(E_F)**: 0.142 states/eV/atom
**ΔE_f**: 0.007 eV/atom

---

An optimized crystal structure of Ga6Ag3Au, computed with GGA-PBE.

Geometry as POSCAR:
```
Ga6Ag3Au
1.0
7.0825 0.0000 0.0000
0.0000 6.9061 0.0000
-5.1511 0.0000 7.8245
Ga Ag Au
12 6 2
Direct
0.0451 0.0669 0.3127
0.0451 0.4331 0.8127
0.2565 0.6939 0.1029
0.2565 0.8061 0.6029
0.4017 0.1087 0.0586
0.4017 0.3913 0.5586
0.5983 0.6087 0.4414
0.5983 0.8913 0.9414
0.7435 0.1939 0.3971
0.7435 0.3061 0.8971
0.9549 0.5669 0.1873
0.9549 0.9331 0.6873
0.2821 0.1819 0.7346
0.2821 0.3181 0.2346
0.5000 0.0000 0.5000
0.5000 0.5000 0.0000
0.7179 0.6819 0.7654
0.7179 0.8181 0.2654
0.0000 0.0000 0.0000
0.0000 0.5000 0.5000
```

Values from the calculation:
**Spin magnetization**: 0.0 μB/cell
**DFT total energy**: -60.2 eV per cell
**DOS(E_F)**: 0.346 states/eV/atom
**ΔE_f**: -0.009 eV/atom

---

An optimized crystal structure of GaAgAu2, computed with GGA-PBE.

Geometry as POSCAR:
```
GaAgAu2
1.0
3.2013 0.0000 0.0000
0.0000 3.2013 0.0000
0.0000 0.0000 6.9236
Ga Ag Au
1 1 2
Direct
0.0000 0.0000 0.0000
0.0000 0.0000 0.5000
0.5000 0.5000 0.2319
0.5000 0.5000 0.7681
```

Values from the calculation:
**Spin magnetization**: 0.0 μB/cell
**DFT total energy**: -12.8 eV per cell
**DOS(E_F)**: 0.256 states/eV/atom
**ΔE_f**: -0.080 eV/atom

---

An optimized crystal structure of GaAg4Au8, computed with GGA-PBE.

Geometry as POSCAR:
```
GaAg4Au8
1.0
4.1010 0.0000 0.0000
0.0000 4.1032 0.0000
0.0000 0.0000 14.7118
Ga Ag Au
1 4 8
Direct
0.0000 0.0000 0.0000
0.0000 0.0000 0.7366
0.0000 0.5000 0.3053
0.5000 0.0000 0.5930
0.5000 0.5000 0.1527
0.0000 0.0000 0.1668
0.0000 0.0000 0.4482
0.0000 0.5000 0.5937
0.0000 0.5000 0.8851
0.5000 0.0000 0.3044
0.5000 0.0000 0.8857
0.5000 0.5000 0.4500
0.5000 0.5000 0.7367
```

Values from the calculation:
**Spin magnetization**: 0.0 μB/cell
**DFT total energy**: -40.9 eV per cell
**DOS(E_F)**: 0.277 states/eV/atom
**ΔE_f**: -0.023 eV/atom

---

An optimized crystal structure of GaAgAu, computed with GGA-PBE.

Geometry as POSCAR:
```
GaAgAu
1.0
11.1718 0.0000 0.0000
0.0000 2.9671 0.0000
-1.8425 0.0000 6.4023
Ga Ag Au
4 4 4
Direct
0.1352 0.0000 0.0303
0.3648 0.5000 0.9697
0.6352 0.5000 0.0303
0.8648 0.0000 0.9697
0.0298 0.5000 0.3067
0.4702 0.0000 0.6933
0.5298 0.0000 0.3067
0.9702 0.5000 0.6933
0.2005 0.0000 0.6663
0.2995 0.5000 0.3337
0.7005 0.5000 0.6663
0.7995 0.0000 0.3337
```

Values from the calculation:
**Spin magnetization**: 0.0 μB/cell
**DFT total energy**: -37.5 eV per cell
**DOS(E_F)**: 0.227 states/eV/atom
**ΔE_f**: -0.070 eV/atom

---

An optimized crystal structure of Ga2AgAu10, computed with GGA-PBE.

Geometry as POSCAR:
```
Ga2AgAu10
1.0
0.0000 6.3226 6.4815
3.0448 0.0000 6.4815
3.0448 6.3226 0.0000
Ga Ag Au
2 1 10
Direct
0.0000 0.5000 0.0000
0.5000 0.0000 0.5000
0.0000 0.0000 0.0000
0.0000 0.0000 0.5000
0.0089 0.3173 0.6827
0.2709 0.4932 0.5068
0.3173 0.0089 0.9911
0.4932 0.2709 0.7291
0.5000 0.5000 0.0000
0.5068 0.7291 0.2709
0.6827 0.9911 0.0089
0.7291 0.5068 0.4932
0.9911 0.6827 0.3173
```

Values from the calculation:
**Spin magnetization**: 0.0 μB/cell
**DFT total energy**: -41.6 eV per cell
**DOS(E_F)**: 0.281 states/eV/atom
**ΔE_f**: 0.007 eV/atom